## Tm3Hg2Rh (GGA-PBE)

Data for Tm3Hg2Rh after structural relaxation.

Results
Polymorph energy (0 for the lowest one) ... 0 meV/atom
Formation energy from the elements ... -0.637 eV/atom
Spin magnetization ... 0.00 μB/f.u.

a = 7.9112 Å, b = 7.9112 Å, c = 7.3052 Å
α = 90.00°, β = 90.00°, γ = 143.05°
Positions (direct):
Tm1 0.0000 0.0000 0.2364
Tm2 0.0000 0.0000 0.7636
Tm3 0.3269 0.6731 0.2276
Tm4 0.3269 0.6731 0.7724
Tm5 0.6731 0.3269 0.2276
Tm6 0.6731 0.3269 0.7724
Hg1 0.1657 0.8343 0.5000
Hg2 0.5000 0.5000 0.0000
Hg3 0.5000 0.5000 0.5000
Hg4 0.8343 0.1657 0.5000
Rh1 0.1653 0.8347 0.0000
Rh2 0.8347 0.1653 0.0000